# GGA-PBE NiGe2BS, relaxed
data_NiGe2BS
_chemical_formula_sum 'Ni1 Ge2 B1 S1'
_cell_length_a 5.006
_cell_length_b 5.006
_cell_length_c 3.986
_cell_angle_alpha 90.00
_cell_angle_beta 90.00
_cell_angle_gamma 90.00
_symmetry_space_group_name_H-M 'P 4/m m m'
_symmetry_Int_Tables_number 123
_symmetry_space_group_name_Hall '-P 4 2'
loop_
_atom_site_label
_atom_site_type_symbol
_atom_site_fract_x
_atom_site_fract_y
_atom_site_fract_z
Ni1 Ni 0.000 0.000 0.000
Ge1 Ge 0.000 0.500 0.500
B1 B 0.500 0.500 0.000
S1 S 0.000 0.000 0.500
# Uncorrected formation energy: 1222 meV per atom
# Spin magnetization: 0.00 μB/cell